Here is a geometry-optimized La2ScNiSn3Ir2 structure from the Open Quantum Materials Database. Energies are from PBE.

It has space group Amm2 (No. 38), with a = 4.0191 Å, b = 12.8540 Å, c = 7.5365 Å, α = 90.00°, β = 90.00° and γ = 90.00°. Symmetry generates all atoms from La at (0.0000, 0.2075, 0.0000), Sc at (0.0000, 0.0000, 0.3821), Ni at (0.0000, 0.0000, 0.7776), Sn at (0.5000, 0.0000, 0.0389), Sn at (0.5000, 0.1199, 0.6627) and Ir at (0.5000, 0.1533, 0.2951).

As for the crystal system: orthorhombic. As for the total magnetic moment: 0.0 μB/cell. As for the total energy: -6.4430 eV/atom.